The following is a PBE with a Hubbard U calculation of a relaxed structure of Na2Cr2F7, from Alexandria via LeMat-Bulk.

Output
* raw total energy: -5.376 eV/atom

Cell lengths 8.1063, 6.7838, 5.3590 Å; angles 90.00, 91.28, 90.00 degrees
Closest atoms and distances in Å follow each position.
Space group C2/m (No. 12)
Symmetry-distinct sites (fractional):
Na 0.0000 0.2339 0.0000 [4 per cell]  4 F 2.19-2.39
Cr 0.2467 0.0000 0.4651 [4 per cell]  6 F 1.93-2.12
F 0.0000 0.5000 0.5000 [2 per cell]  2 Cr 2.06
F 0.0414 0.0000 0.2762 [4 per cell]  1 Cr 1.93
F 0.2294 0.2327 0.7286 [8 per cell]  2 Cr 2.10-2.12